# La2Nd7Y2 (PBE, optimized geometry)
# Relative energy among the computed polymorphs   3 meV per atom
# Spin magnetization   0.000 μB per formula unit
# Total energy   -4.972 eV/atom
# ρ   6.2 g/cm3
data_La2Nd7Y2
_space_group_name_H-M_alt 'C 1 2/m 1'
_space_group_IT_number 12
_cell_length_a 11.902
_cell_length_b 11.564
_cell_length_c 6.117
_cell_angle_alpha 90.00
_cell_angle_beta 111.78
_cell_angle_gamma 90.00
loop_
_space_group_symop_operation_xyz
'x,y,z'
'-x,-y,-z'
'-x,y,-z'
'x,-y,z'
'x+1/2,y+1/2,z'
'-x+1/2,-y+1/2,-z'
'-x+1/2,y+1/2,-z'
'x+1/2,-y+1/2,z'
loop_
_atom_site_label
_atom_site_type_symbol
_atom_site_fract_x
_atom_site_fract_y
_atom_site_fract_z
La1 La 0.229 0.000 0.115
Nd1 Nd 0.000 0.000 0.500
Nd2 Nd 0.073 0.500 0.299
Nd3 Nd 0.185 0.222 0.679
Y1 Y 0.000 0.218 0.000